No. 1
Here is AlTcRu2 after structural relaxation from Alexandria via LeMat-Bulk. Energies are from PBE-GGA.

a = 4.922 Å, b = 4.922 Å, c = 4.617 Å
α = 111.42°, β = 111.42°, γ = 33.35°
Fractional positions:
Al (0.000, 0.000, 0.000)
Tc (0.235, 0.235, 0.609)
Ru (0.485, 0.485, 0.502)
Ru (0.748, 0.748, 0.097)

Values from the calculation:
As for the space-group type: Cm (8). The formation energy comes out at -0.77 eV per formula unit. As for the energy relative to the lowest polymorph listed for this composition: 112 meV/atom.

---

No. 2
Here is PuHfInGa after structural relaxation from Alexandria via LeMat-Bulk. Energies are from PBE-GGA.

a = 3.090 Å, b = 3.090 Å, c = 9.067 Å
α = 90.00°, β = 90.00°, γ = 90.00°
Fractional positions:
Pu (0.000, 0.000, 0.000)
Hf (0.000, 0.000, 0.542)
In (0.500, 0.500, 0.285)
Ga (0.500, 0.500, 0.755)

Values from the calculation:
As for the space-group type: P4mm (99). The formation energy comes out at -1.08 eV per formula unit.

---

No. 3
Here is TbDy2Th3S6 after structural relaxation from Alexandria via LeMat-Bulk. Energies are from PBE-GGA.

a = 6.753 Å, b = 6.753 Å, c = 7.098 Å
α = 99.09°, β = 99.09°, γ = 119.64°
Fractional positions:
Tb (0.000, 0.000, 0.000)
Dy (0.333, 0.667, 0.000)
Dy (0.667, 0.333, 0.000)
Th (0.166, 0.834, 0.500)
Th (0.500, 0.500, 0.500)
Th (0.834, 0.166, 0.500)
S (0.078, 0.413, 0.234)
S (0.257, 0.257, 0.766)
S (0.413, 0.078, 0.234)
S (0.587, 0.922, 0.766)
S (0.743, 0.743, 0.234)
S (0.922, 0.587, 0.766)

Values from the calculation:
As for the space-group type: C2/m (12). Its uncorrected formation energy is -1.91 eV per atom.